# TeP2Br

An optimized crystal structure of TeP2Br (GGA-PBE, Alexandria).

Lattice parameters (Å, degrees): 6.4234 6.4234 8.3096 52.95 52.95 28.56
With the nearest neighbours (Å) after each atom.
Sites, in units of the cell vectors:
Br (0.2500, 0.2500, 0.2500)  4 P 3.11, 2 Br 3.17
P (0.9274, 0.9274, 0.8393)  2 P 2.15
Te (0.7500, 0.7500, 0.7500)  2 P 2.73
P (0.5726, 0.5726, 0.6607)  2 P 2.15

Raw formation energy (kJ/mol of formula units): 84.5
DOS(E_F) (states/eV/atom): 0.9719
Calculated volume (Å³ per cell): 128
Energy relative to the lowest polymorph listed for this composition (meV per atom): 187
Space group: C2/m, No. 12
Total moment (μB/atom): 0.00